# AcGd2Cd | Alexandria | PBE | optimized geometry
data_AcGd2Cd
_chemical_formula_sum 'Ac1 Gd2 Cd1'
_cell_length_a 5.010
_cell_length_b 5.010
_cell_length_c 5.150
_cell_angle_alpha 90.00
_cell_angle_beta 90.00
_cell_angle_gamma 90.00
_space_group_name_H-M_alt 'P 4/m m m'
_space_group_IT_number 123
_space_group_name_Hall '-P 4 2'
loop_
_atom_site_label
_atom_site_fract_x
_atom_site_fract_y
_atom_site_fract_z
Ac1 0.000 0.000 0.000
Gd1 0.000 0.500 0.500
Cd1 0.500 0.500 0.000
# formation energy from the elements: -75 meV/atom
# distance to the lowest polymorph of the same formula: 0.0722 eV per atom

---

# Zr2HgMoAu | Alexandria | PBE | optimized geometry
data_Zr2HgMoAu
_chemical_formula_sum 'Zr2 Hg1 Mo1 Au1'
_cell_length_a 4.953
_cell_length_b 4.953
_cell_length_c 5.236
_cell_angle_alpha 90.00
_cell_angle_beta 90.00
_cell_angle_gamma 90.00
_space_group_name_H-M_alt 'P 4/m m m'
_space_group_IT_number 123
_space_group_name_Hall '-P 4 2'
loop_
_atom_site_label
_atom_site_fract_x
_atom_site_fract_y
_atom_site_fract_z
Zr1 0.000 0.500 0.000
Hg1 0.000 0.000 0.500
Mo1 0.000 0.000 0.000
Au1 0.500 0.500 0.500
# formation energy from the elements: 713 meV/atom

---

# Rb2HgTeSe | Alexandria | PBE | optimized geometry
data_Rb2HgTeSe
_chemical_formula_sum 'Rb2 Hg1 Te1 Se1'
_cell_length_a 6.699
_cell_length_b 6.699
_cell_length_c 5.191
_cell_angle_alpha 90.00
_cell_angle_beta 90.00
_cell_angle_gamma 90.00
_space_group_name_H-M_alt 'P 4/m m m'
_space_group_IT_number 123
_space_group_name_Hall '-P 4 2'
loop_
_atom_site_label
_atom_site_fract_x
_atom_site_fract_y
_atom_site_fract_z
Rb1 0.000 0.500 0.000
Hg1 0.000 0.000 0.500
Te1 0.500 0.500 0.500
Se1 0.000 0.000 0.000
# formation energy from raw total energies: -0.5569 eV/atom
# distance to the lowest polymorph of the same formula: 0.2436 eV per atom

---

# SrTcH2S | Alexandria | PBE | optimized geometry
data_SrTcH2S
_chemical_formula_sum 'Sr1 Tc1 H2 S1'
_cell_length_a 4.142
_cell_length_b 4.142
_cell_length_c 5.831
_cell_angle_alpha 90.00
_cell_angle_beta 90.00
_cell_angle_gamma 90.00
_space_group_name_H-M_alt 'P 4/m m m'
_space_group_IT_number 123
_space_group_name_Hall '-P 4 2'
loop_
_atom_site_label
_atom_site_fract_x
_atom_site_fract_y
_atom_site_fract_z
Sr1 0.000 0.000 0.000
Tc1 0.500 0.500 0.000
H1 0.000 0.500 0.500
S1 0.000 0.000 0.500
# total energy: -17.00 eV/cell

---

# SiPHS | Alexandria | PBE | optimized geometry
data_SiPHS
_chemical_formula_sum 'Si1 P1 H1 S1'
_cell_length_a 3.151
_cell_length_b 4.466
_cell_length_c 5.562
_cell_angle_alpha 90.00
_cell_angle_beta 90.00
_cell_angle_gamma 90.00
_space_group_name_H-M_alt 'P m m 2'
_space_group_IT_number 25
loop_
_space_group_symop_operation_xyz
'x,y,z'
'-x,-y,z'
'-x,y,z'
'x,-y,z'
loop_
_atom_site_label
_atom_site_fract_x
_atom_site_fract_y
_atom_site_fract_z
Si1 0.000 0.000 0.000
P1 0.000 0.500 0.179
H1 0.000 0.500 0.918
S1 0.500 0.000 0.737
# distance to the lowest polymorph of the same formula: 0.2980 eV per atom

---

# Sm6SbBr8 | Alexandria | PBE | optimized geometry
data_Sm6SbBr8
_chemical_formula_sum 'Sm18 Sb3 Br24'
_cell_length_a 7.2789
_cell_length_b 7.2789
_cell_length_c 32.2417
_cell_angle_alpha 90.00
_cell_angle_beta 90.00
_cell_angle_gamma 120.00
_space_group_name_H-M_alt 'R -3'
_space_group_IT_number 148
_space_group_name_Hall '-R 3'
loop_
_atom_site_label
_atom_site_fract_x
_atom_site_fract_y
_atom_site_fract_z
Sm1 0.0006 0.6558 0.4483
Sb1 0.0000 0.0000 0.5000
Br1 0.0000 0.0000 0.1665
Br2 0.9997 0.3253 0.3925
# formation energy from raw total energies: -1.4154 eV/atom

---

# Nd5Er4Sc | Alexandria | PBE | optimized geometry
data_Nd5Er4Sc
_chemical_formula_sum 'Nd10 Er8 Sc2'
_cell_length_a 18.102
_cell_length_b 3.574
_cell_length_c 10.332
_cell_angle_alpha 90.00
_cell_angle_beta 95.80
_cell_angle_gamma 90.00
_space_group_name_H-M_alt 'C 1 2/m 1'
_space_group_IT_number 12
loop_
_space_group_symop_operation_xyz
'x,y,z'
'-x,-y,-z'
'-x,y,-z'
'x,-y,z'
'x+1/2,y+1/2,z'
'-x+1/2,-y+1/2,-z'
'-x+1/2,y+1/2,-z'
'x+1/2,-y+1/2,z'
loop_
_atom_site_label
_atom_site_fract_x
_atom_site_fract_y
_atom_site_fract_z
Nd1 0.000 0.000 0.000
Nd2 0.141 0.500 0.726
Nd3 0.189 0.500 0.101
Er1 0.045 0.500 0.271
Er2 0.181 0.000 0.418
Sc1 0.000 0.000 0.500
# formation energy from the elements: 140 meV/atom
# distance to the lowest polymorph of the same formula: 0.1147 eV per atom

---

# EuMgRh2 | Alexandria | PBE | optimized geometry
data_EuMgRh2
_chemical_formula_sum 'Eu1 Mg1 Rh2'
_cell_length_a 4.640
_cell_length_b 4.640
_cell_length_c 3.405
_cell_angle_alpha 90.00
_cell_angle_beta 90.00
_cell_angle_gamma 90.00
_space_group_name_H-M_alt 'P 4/m m m'
_space_group_IT_number 123
_space_group_name_Hall '-P 4 2'
loop_
_atom_site_label
_atom_site_fract_x
_atom_site_fract_y
_atom_site_fract_z
Eu1 0.000 0.000 0.000
Mg1 0.500 0.500 0.000
Rh1 0.000 0.500 0.500
# formation energy from the elements: -341 meV/atom

---

# ReTc2W | Alexandria | PBE | optimized geometry
data_ReTc2W
_chemical_formula_sum 'Re2 Tc4 W2'
_cell_length_a 3.929
_cell_length_b 3.929
_cell_length_c 7.849
_cell_angle_alpha 90.00
_cell_angle_beta 90.00
_cell_angle_gamma 90.00
_space_group_name_H-M_alt 'I 4/m m m'
_space_group_IT_number 139
_space_group_name_Hall '-I 4 2'
loop_
_atom_site_label
_atom_site_fract_x
_atom_site_fract_y
_atom_site_fract_z
Re1 0.000 0.000 0.000
Tc1 0.000 0.500 0.250
W1 0.000 0.000 0.500
# formation energy from the elements: 121 meV/atom
# distance to the lowest polymorph of the same formula: 0.0069 eV per atom

---

# TeSe2 | Alexandria | PBE | optimized geometry
data_TeSe2
_chemical_formula_sum 'Te1 Se2'
_cell_length_a 3.966
_cell_length_b 5.229
_cell_length_c 5.757
_cell_angle_alpha 106.69
_cell_angle_beta 109.62
_cell_angle_gamma 90.00
_space_group_name_H-M_alt 'P -1'
_space_group_IT_number 2
loop_
_space_group_symop_operation_xyz
'x,y,z'
'-x,-y,-z'
loop_
_atom_site_label
_atom_site_fract_x
_atom_site_fract_y
_atom_site_fract_z
Te1 0.000 0.000 0.000
Se1 0.415 0.596 0.825
# formation energy from raw total energies: 0.0071 eV/atom
# distance to the lowest polymorph of the same formula: 0.0220 eV per atom

---

# KZrI2 | Alexandria | PBE | optimized geometry
data_KZrI2
_chemical_formula_sum 'K4 Zr4 I8'
_cell_length_a 6.902
_cell_length_b 6.902
_cell_length_c 16.184
_cell_angle_alpha 90.00
_cell_angle_beta 90.00
_cell_angle_gamma 90.00
_space_group_name_H-M_alt 'I -4 2 d'
_space_group_IT_number 122
_space_group_name_Hall 'I -4 2bw'
loop_
_atom_site_label
_atom_site_fract_x
_atom_site_fract_y
_atom_site_fract_z
K1 0.000 0.000 0.000
Zr1 0.000 0.000 0.500
I1 0.182 0.250 0.625
# formation energy from raw total energies: -0.2905 eV/atom
# distance to the lowest polymorph of the same formula: 0.0000 eV per atom

---

# KCd2Rh | Alexandria | PBE | optimized geometry
data_KCd2Rh
_chemical_formula_sum 'K1 Cd2 Rh1'
_cell_length_a 3.323
_cell_length_b 3.323
_cell_length_c 8.762
_cell_angle_alpha 90.00
_cell_angle_beta 90.00
_cell_angle_gamma 90.00
_space_group_name_H-M_alt 'P 4/m m m'
_space_group_IT_number 123
_space_group_name_Hall '-P 4 2'
loop_
_atom_site_label
_atom_site_fract_x
_atom_site_fract_y
_atom_site_fract_z
K1 0.000 0.000 0.000
Cd1 0.500 0.500 0.322
Rh1 0.000 0.000 0.500
# formation energy from the elements: 36 meV/atom
# distance to the lowest polymorph of the same formula: 0.0136 eV per atom

---

Calculated total moment (μB per formula unit), listed in the same order as above: 15.609; 0.000; 0.573; 3.694; 0.000; 0.000; 0.000; 6.368; 0.000; 0.000; 2.973; 0.000